Entry from Alexandria via LeMat-Bulk: a relaxed structure of Sr2MoF (PBE+U).

a b c (Å): 8.0906 8.0906 8.0906
angles (deg): 90.00 90.00 90.00
Closest atoms and distances in Å follow each position.
Space group Fm-3m (No. 225)
Symmetry-distinct sites (fractional):
Sr 0.2500 0.2500 0.2500  4 Mo 3.50, 4 F 3.50
Mo 0.0000 0.0000 0.0000  8 Sr 3.50
F 0.0000 0.0000 0.5000  8 Sr 3.50

Computed properties:
- DFT total energy: -53.48 eV per cell
- V: 33.10 A^3/atom